Record 1
Rb3AgF5 | PBE-GGA | optimized geometry

As for the density of states at the Fermi level: 40.29 states/eV/cell. The raw formation energy is -2.098 eV per atom. The energy comes out at -3.777 eV/atom.

The space group is I4/mcm (No. 140) and the conventional cell measures 7.583, 7.583 and 13.569 Å, with angles of 90.00, 90.00 and 90.00 degrees. The inequivalent atoms are Rb at (0.000, 0.000, 0.250), Rb at (0.170, 0.330, 0.000), Ag at (0.000, 0.500, 0.250), F at (0.000, 0.000, 0.000) and F at (0.146, 0.354, 0.358).

---

Record 2
RbAg3F | PBE-GGA | optimized geometry

As for the density of states at the Fermi level: 1.79 states/eV/cell. The raw formation energy is -0.047 eV per atom. The energy comes out at -2.326 eV/atom.

The space group is Pm-3m (No. 221) and the conventional cell measures 4.999, 4.999 and 4.999 Å, with angles of 90.00, 90.00 and 90.00 degrees. The inequivalent atoms are Rb at (0.000, 0.000, 0.000), Ag at (0.000, 0.500, 0.500) and F at (0.500, 0.500, 0.500).

---

Record 3
RbAgF2 | PBE-GGA | optimized geometry

As for the density of states at the Fermi level: 0.00 states/eV/cell. The raw formation energy is -1.640 eV per atom. The energy comes out at -3.531 eV/atom.

The space group is Fm-3m (No. 225) and the conventional cell measures 6.507, 6.507 and 6.507 Å, with angles of 90.00, 90.00 and 90.00 degrees. The inequivalent atoms are Rb at (0.000, 0.000, 0.000), Ag at (0.000, 0.000, 0.500) and F at (0.250, 0.250, 0.250).